(1)
Computed, not measured: ScZn2Cu2 after structural relaxation at the PBE level of DFT.

The structure in POSCAR format:
```
ScZn2Cu2
1.0
7.3229 0.0000 0.0000
0.0000 7.3229 0.0000
0.0000 0.0000 2.7903
Sc Cu Zn
2 4 4
Cartesian
0.0000 0.0000 0.0000
3.6615 3.6615 0.0000
6.4011 4.5833 0.0000
2.7396 6.4011 0.0000
0.9218 2.7396 0.0000
4.5833 0.9218 0.0000
6.0847 2.4232 1.3952
4.8997 6.0847 1.3952
1.2382 4.8997 1.3952
2.4232 1.2382 1.3952
```

Properties
calculated formation energy	-136	meV per atom

(2)
Computed, not measured: Cs2BeTlBr6 after structural relaxation at the PBE level of DFT.

The structure in POSCAR format:
```
Cs2BeTlBr6
1.0
7.7634 0.0000 0.0000
0.0000 7.7634 0.0000
3.8817 3.8817 5.5275
Cs Br Be Tl
2 6 1 1
Cartesian
7.7634 3.8817 2.7637
3.8817 7.7634 2.7637
5.6367 5.6367 0.0000
2.1267 2.1267 0.0000
7.7634 7.7634 2.9906
3.8817 3.8817 2.5369
2.1267 5.6367 0.0000
5.6367 2.1267 0.0000
3.8817 3.8817 0.0000
0.0000 0.0000 0.0000
```

Properties
raw formation energy	-1.079	eV/atom

(3)
Computed, not measured: RbSc2MnSe4 after structural relaxation at the PBE level of DFT.

The structure in POSCAR format:
```
RbSc2MnSe4
1.0
4.0138 0.0000 0.0000
-2.0069 7.0452 0.0000
0.0000 0.0000 14.0093
Mn Sc Rb Se
2 4 2 8
Cartesian
2.0069 4.6822 10.5070
0.0000 2.3630 3.5023
2.0069 1.8120 6.1338
0.0000 5.2332 13.1384
2.0069 1.8120 0.8709
0.0000 5.2332 7.8756
2.0069 5.4472 3.5023
0.0000 1.5981 10.5070
0.0000 3.6248 5.5842
0.0000 6.1061 10.5070
2.0069 3.4204 8.4251
2.0069 3.4204 12.5889
0.0000 3.6248 1.4204
2.0069 0.9391 3.5023
0.0000 0.0000 0.0000
0.0000 0.0000 7.0047
```

Properties
raw formation energy	-1.286	eV/atom

no.,calculated total energy (eV per atom)
1,-3.55
2,-2.86
3,-5.88